Entry from Alexandria: Al3GaMo at its PBEsol-relaxed geometry (meta-GGA SCAN).

Cell lengths 4.629, 4.629, 4.629 Å; angles 90.00, 90.00, 90.00 degrees
Last column: magnetic moment on the atom in μB.
Positions (direct):
Ga 0.000 0.000 0.000  0.04
Al 0.500 0.000 0.000  -0.04
Al 0.000 0.000 0.500  -0.04
Mo 0.500 0.500 0.500  3.11
Al 0.000 0.500 0.000  -0.04

Values from the calculation:
- SG = No. 221
- calculated total energy (eV per atom) = -13.801

---

Entry from Alexandria: Tc2RuCl at its PBEsol-relaxed geometry (meta-GGA SCAN).

Cell lengths 4.274, 4.274, 4.274 Å; angles 60.00, 60.00, 60.00 degrees
Positions (direct):
Ru 0.500 0.500 0.500
Tc 0.250 0.250 0.250
Tc 0.750 0.750 0.750
Cl 0.000 0.000 0.000

Values from the calculation:
- raw formation energy (eV/atom) = 0.846
- SG = No. 225

---

Entry from Alexandria: SiNiRh2 at its PBEsol-relaxed geometry (meta-GGA SCAN).

Cell lengths 2.828, 2.828, 6.197 Å; angles 90.00, 90.00, 90.00 degrees
Last column: magnetic moment on the atom in μB.
Positions (direct):
Ni 0.500 0.500 0.500  0.98
Rh 0.000 0.000 0.773  0.18
Si 0.500 0.500 0.000  -0.01
Rh 0.000 0.000 0.227  0.18

Values from the calculation:
- raw formation energy (eV/atom) = -0.485
- SG = No. 123

---

Entry from Alexandria: CdTc2Se at its PBEsol-relaxed geometry (meta-GGA SCAN).

Cell lengths 2.969, 4.131, 5.791 Å; angles 99.85, 90.00, 111.06 degrees
Positions (direct):
Se 0.000 0.000 0.500
Tc 0.744 0.487 0.700
Cd 0.500 0.000 0.000
Tc 0.256 0.513 0.300

Values from the calculation:
- raw formation energy (eV/atom) = 0.449
- SG = No. 12

---

| no. | Fermi-level density of states (states/eV per cell) |
| --- | --- |
| 1 | 2.650 |
| 2 | 4.014 |
| 3 | 3.722 |
| 4 | 3.410 |